The following is a DFT calculation (GGA-PBE) of crystalline CsRhN2 at its relaxed geometry.

For the energy relative to the lowest polymorph listed for this composition, the calculation gives 1835 meV per atom. As for the volume: 239 Å³/cell. For the raw total energy, the calculation gives -3.921 eV/atom. The size of the total moment is 0.00 μB per cell. For the uncorrected formation energy, the calculation gives 2.29 eV per atom.

The structure belongs to space group Fm-3m (No. 225); the cell edges are 6.203, 6.203 and 6.203 Å and the angles 90.00°, 90.00° and 90.00°. The distinct sites, in fractional coordinates, are Cs at (0.000, 0.000, 0.000), Rh at (0.000, 0.000, 0.500) and N at (0.250, 0.250, 0.250).